[1]
Material: Ag4W
Method: DFT, PBE
State: optimized geometry

Cell and atoms, written as POSCAR:
```
Ag4W
1.0
5.088 0.000 0.000
0.000 5.088 0.000
0.000 0.000 5.088
Ag W
4 1
direct
0.000 0.000 0.000
0.000 0.500 0.500
0.500 0.000 0.500
0.500 0.500 0.000
0.500 0.500 0.500
```

Computed properties:
formation energy	1707	meV per atom
Fermi-level density of states	0.7594	states/eV per atom
crystal system	cubic
SG	Pm-3m (221)
distance to the lowest polymorph of the same formula	1014.4	meV/atom
VASP energy	-3.16	eV/atom



[2]
Material: PaInGa
Method: DFT, PBE
State: optimized geometry

Cell and atoms, written as POSCAR:
```
PaInGa
1.0
-1.635 1.635 6.422
1.635 -1.635 6.422
1.635 1.635 -6.422
Pa In Ga
1 1 1
direct
0.000 0.000 0.000
0.313 0.313 0.000
0.658 0.658 0.000
```

Computed properties:
formation energy	-9	meV per atom
Fermi-level density of states	1.4122	states/eV per atom
crystal system	tetragonal
SG	I4mm (107)
distance to the lowest polymorph of the same formula	111.9	meV/atom
VASP energy	-5.10	eV/atom



[3]
Material: K4Co3
Method: DFT, PBE
State: optimized geometry

Cell and atoms, written as POSCAR:
```
K4Co3
1.0
4.860 0.000 0.000
-2.430 4.209 0.000
0.000 0.000 12.709
K Co
4 3
direct
0.000 0.000 0.186
0.000 0.000 0.814
0.333 0.667 0.500
0.667 0.333 0.500
0.000 0.500 0.000
0.500 0.000 0.000
0.500 0.500 0.000
```

Computed properties:
formation energy	863	meV per atom
Fermi-level density of states	1.0029	states/eV per atom
crystal system	hexagonal
SG	P6/mmm (191)
VASP energy	-2.81	eV/atom



[4]
Material: HgPOs2
Method: DFT, PBE
State: optimized geometry

Cell and atoms, written as POSCAR:
```
HgPOs2
1.0
-1.430 2.482 4.417
1.430 -2.482 4.417
1.430 2.482 -4.417
Hg P Os
1 1 2
direct
0.000 0.000 0.000
0.500 0.500 0.000
0.289 0.789 0.500
0.711 0.211 0.500
```

Computed properties:
formation energy	583	meV per atom
Fermi-level density of states	0.6139	states/eV per atom
crystal system	orthorhombic
SG	Immm (71)
distance to the lowest polymorph of the same formula	291.3	meV/atom
VASP energy	-6.46	eV/atom



[5]
Material: Er2Ga5Co
Method: DFT, PBE
State: optimized geometry

Cell and atoms, written as POSCAR:
```
Er2Ga5Co
1.0
-3.013 3.013 4.207
3.013 -3.013 4.207
3.013 3.013 -4.207
Er Ga Co
2 5 1
direct
0.000 0.500 0.500
0.500 0.000 0.500
0.002 0.002 0.000
0.532 0.532 0.561
0.532 0.972 0.000
0.972 0.532 0.000
0.972 0.972 0.439
0.284 0.284 0.000
```

Computed properties:
formation energy	-388	meV per atom
Fermi-level density of states	0.5239	states/eV per atom
crystal system	tetragonal
SG	I4mm (107)
VASP energy	-4.31	eV/atom



[6]
Material: LaCu2Ru
Method: DFT, PBE
State: optimized geometry

Cell and atoms, written as POSCAR:
```
LaCu2Ru
1.0
1.465 0.846 9.377
-1.465 0.846 9.377
0.000 -1.692 9.377
La Cu Ru
1 2 1
direct
0.000 0.000 0.000
0.238 0.238 0.238
0.762 0.762 0.762
0.500 0.500 0.500
```

Computed properties:
formation energy	601	meV per atom
Fermi-level density of states	0.8824	states/eV per atom
crystal system	trigonal
SG	R-3m (166)
distance to the lowest polymorph of the same formula	658.8	meV/atom
VASP energy	-5.00	eV/atom



[7]
Material: CeTm3Tl4S8
Method: DFT, PBE
State: optimized geometry

Cell and atoms, written as POSCAR:
```
CeTm3Tl4S8
1.0
4.033 2.329 7.529
-4.033 2.329 7.529
0.000 -4.657 7.529
Ce Tm Tl S
1 3 4 8
direct
0.000 0.000 0.000
0.000 0.500 0.500
0.500 0.000 0.500
0.500 0.500 0.000
0.000 0.000 0.500
0.000 0.500 0.000
0.500 0.000 0.000
0.500 0.500 0.500
0.238 0.238 0.722
0.238 0.722 0.238
0.269 0.269 0.269
0.278 0.762 0.762
0.722 0.238 0.238
0.731 0.731 0.731
0.762 0.278 0.762
0.762 0.762 0.278
```

Computed properties:
Fermi-level density of states	0.3189	states/eV per atom
crystal system	trigonal
SG	R-3m (166)
VASP energy	-5.32	eV/atom



[8]
Material: LaPr2Sm3As6
Method: DFT, PBE
State: optimized geometry

Cell and atoms, written as POSCAR:
```
LaPr2Sm3As6
1.0
9.311 -2.138 0.000
9.311 2.138 0.000
-1.960 0.000 8.317
La Pr Sm As
1 2 3 6
direct
0.000 0.000 0.000
0.333 0.333 0.666
0.667 0.667 0.334
0.000 0.000 0.500
0.333 0.333 0.167
0.667 0.667 0.833
0.165 0.165 0.586
0.168 0.168 0.081
0.499 0.499 0.255
0.501 0.501 0.745
0.832 0.832 0.919
0.835 0.835 0.414
```

Computed properties:
formation energy	-1524	meV per atom
Fermi-level density of states	0.1421	states/eV per atom
crystal system	monoclinic
SG	C2/m (12)
VASP energy	-6.24	eV/atom



[9]
Material: Sn5B2Ir6
Method: DFT, PBE
State: optimized geometry

Cell and atoms, written as POSCAR:
```
Sn5B2Ir6
1.0
6.718 0.000 0.000
-3.359 5.818 0.000
0.000 0.000 5.648
Sn B Ir
5 2 6
direct
0.000 0.596 0.000
0.333 0.667 0.500
0.404 0.404 0.000
0.596 0.000 0.000
0.667 0.333 0.500
0.000 0.000 0.000
0.000 0.000 0.500
0.000 0.252 0.254
0.000 0.252 0.746
0.252 0.000 0.254
0.252 0.000 0.746
0.748 0.748 0.254
0.748 0.748 0.746
```

Computed properties:
formation energy	-284	meV per atom
Fermi-level density of states	0.1734	states/eV per atom
crystal system	hexagonal
SG	P-62m (189)
VASP energy	-6.94	eV/atom



[10]
Material: BeFe3P
Method: DFT, PBE
State: optimized geometry

Cell and atoms, written as POSCAR:
```
BeFe3P
1.0
4.091 0.000 0.000
0.000 4.091 0.000
0.000 0.000 4.091
Be Fe P
1 3 1
direct
0.000 0.000 0.000
0.000 0.500 0.500
0.500 0.000 0.500
0.500 0.500 0.000
0.500 0.500 0.500
```

Computed properties:
formation energy	459	meV per atom
Fermi-level density of states	0.5238	states/eV per atom
crystal system	cubic
SG	Pm-3m (221)
VASP energy	-6.45	eV/atom



[11]
Material: In3RhCl
Method: DFT, PBE
State: optimized geometry

Cell and atoms, written as POSCAR:
```
In3RhCl
1.0
5.323 0.000 0.000
0.000 5.323 0.000
0.000 0.000 5.323
In Rh Cl
3 1 1
direct
0.000 0.000 0.500
0.000 0.500 0.000
0.500 0.000 0.000
0.500 0.500 0.500
0.000 0.000 0.000
```

Computed properties:
Fermi-level density of states	1.1193	states/eV per atom
crystal system	cubic
SG	Pm-3m (221)
distance to the lowest polymorph of the same formula	1201.8	meV/atom
VASP energy	-2.77	eV/atom



[12]
Material: LiCePb
Method: DFT, PBE
State: optimized geometry

Cell and atoms, written as POSCAR:
```
LiCePb
1.0
4.593 0.000 0.000
0.000 4.593 0.000
0.000 0.000 7.480
Li Ce Pb
2 2 2
direct
0.250 0.750 0.000
0.750 0.250 0.000
0.250 0.250 0.329
0.750 0.750 0.671
0.250 0.250 0.769
0.750 0.750 0.231
```

Computed properties:
formation energy	-374	meV per atom
Fermi-level density of states	1.9057	states/eV per atom
crystal system	tetragonal
SG	P4/nmm (129)
distance to the lowest polymorph of the same formula	14.7	meV/atom
VASP energy	-4.23	eV/atom